# 1
Entry from Alexandria via LeMat-Bulk: a relaxed structure of Ba2Si2Ir (PBE).

a b c (Å): 6.6128 6.6128 5.4273
angles (deg): 90.00 90.00 90.00
With the nearest neighbours (Å) after each atom.
Space group P4/mbm (No. 127)
One atom of each set of equivalent atoms:
Ba1 0.1860 0.3140 0.0000 x4  6 Si 3.20-3.45, 5 Ba 3.41-3.48
Si1 0.1324 0.6324 0.5000 x4  1 Si 2.48, 2 Ir 2.58
Ir1 0.0000 0.0000 0.5000 x2  4 Si 2.58

* calculated total energy: -4.93 eV/atom
* formation energy without anion corrections: -107 kJ/mol of formula units

# 2
Entry from Alexandria via LeMat-Bulk: a relaxed structure of Ba2SiIr (PBE).

a b c (Å): 4.2511 5.0746 11.6221
angles (deg): 90.00 90.00 90.00
With the nearest neighbours (Å) after each atom.
Space group Amm2 (No. 38)
One atom of each set of equivalent atoms:
Ba1 0.0000 0.0000 0.0000 x2  3 Ir 3.36-3.60, 4 Si 3.52
Ba2 0.5000 0.0000 0.2913 x2  3 Si 3.36-3.61, 4 Ir 3.51
Si1 0.5000 0.0000 0.6018 x2  2 Ir 2.36
Ir1 0.0000 0.0000 0.6901 x2  2 Si 2.36

* calculated total energy: -4.94 eV/atom
* formation energy without anion corrections: -156 kJ/mol of formula units

# 3
Entry from Alexandria via LeMat-Bulk: a relaxed structure of BaSi2Ir (PBE).

a b c (Å): 6.8219 6.8219 6.8219
angles (deg): 90.00 90.00 90.00
With the nearest neighbours (Å) after each atom.
Space group Fm-3m (No. 225)
One atom of each set of equivalent atoms:
Ba1 0.0000 0.0000 0.0000 x4  8 Si 2.95
Si1 0.2500 0.2500 0.2500 x8  4 Ba 2.95, 4 Ir 2.95
Ir1 0.0000 0.0000 0.5000 x4  8 Si 2.95

* calculated total energy: -5.08 eV/atom
* formation energy without anion corrections: 127 kJ/mol of formula units

# 4
Entry from Alexandria via LeMat-Bulk: a relaxed structure of BaSi2Ir (PBE).

a b c (Å): 4.1423 6.4989 7.6228
angles (deg): 90.00 90.00 90.00
With the nearest neighbours (Å) after each atom.
Space group Immm (No. 71)
One atom of each set of equivalent atoms:
Ba1 0.0000 0.0000 0.0000 x2  8 Si 3.35-3.46
Si1 0.0000 0.5000 0.1550 x4  1 Si 2.36, 2 Ir 2.38
Ir1 0.0000 0.0000 0.5000 x2  4 Si 2.38

* calculated total energy: -5.63 eV/atom
* formation energy without anion corrections: -87 kJ/mol of formula units

# 5
Entry from Alexandria via LeMat-Bulk: a relaxed structure of Ba2SiIr (PBE).

a b c (Å): 5.0764 5.0764 4.4150
angles (deg): 90.00 90.00 90.00
With the nearest neighbours (Å) after each atom.
Space group P4/mmm (No. 123)
One atom of each set of equivalent atoms:
Ba1 0.0000 0.5000 0.0000 x2  4 Ir 3.36, 4 Si 3.36, 4 Ba 3.59
Si1 0.0000 0.0000 0.5000 x1  8 Ba 3.36, 4 Ir 3.59
Ir1 0.5000 0.5000 0.5000 x1  8 Ba 3.36, 4 Si 3.59

* calculated total energy: -4.33 eV/atom
* formation energy without anion corrections: 79 kJ/mol of formula units

# 6
Entry from Alexandria via LeMat-Bulk: a relaxed structure of BaSiIr2 (PBE).

a b c (Å): 3.6279 5.9989 8.3453
angles (deg): 90.00 90.00 90.00
With the nearest neighbours (Å) after each atom.
Space group Immm (No. 71)
One atom of each set of equivalent atoms:
Ba1 0.0000 0.0000 0.0000 x2  8 Ir 3.27-3.33, 4 Si 3.51, 2 Ba 3.63
Si1 0.0000 0.0000 0.5000 x2  4 Ir 2.32
Ir1 0.0000 0.5000 0.1742 x4  2 Si 2.32

* calculated total energy: -6.08 eV/atom
* formation energy without anion corrections: 71 kJ/mol of formula units

# 7
Entry from Alexandria via LeMat-Bulk: a relaxed structure of Ba3SiIr (PBE).

a b c (Å): 5.9584 5.9584 5.9584
angles (deg): 90.00 90.00 90.00
With the nearest neighbours (Å) after each atom.
Space group Pm-3m (No. 221)
One atom of each set of equivalent atoms:
Ba1 0.0000 0.0000 0.5000 x3  2 Ir 2.98
Si1 0.5000 0.5000 0.5000 x1  12 Ba 4.21
Ir1 0.0000 0.0000 0.0000 x1  6 Ba 2.98

* calculated total energy: -3.90 eV/atom
* ΔE to the lowest computed polymorph: 0 meV per atom
* formation energy without anion corrections: 54 kJ/mol of formula units

# 8
Entry from Alexandria via LeMat-Bulk: a relaxed structure of BaSiIr2 (PBE).

a b c (Å): 3.0493 3.0493 7.9429
angles (deg): 90.00 90.00 90.00
With the nearest neighbours (Å) after each atom.
Space group P4/mmm (No. 123)
One atom of each set of equivalent atoms:
Ba1 0.0000 0.0000 0.0000 x1  4 Ba 3.05, 8 Ir 3.36
Si1 0.0000 0.0000 0.5000 x1  8 Ir 2.56
Ir1 0.5000 0.5000 0.3252 x2  4 Si 2.56, 1 Ir 2.78

* calculated total energy: -6.35 eV/atom
* formation energy without anion corrections: -30 kJ/mol of formula units

# 9
Entry from Alexandria via LeMat-Bulk: a relaxed structure of Ba3Si4Ir2 (PBE).

a b c (Å): 12.1320 4.1816 9.1144
angles (deg): 90.00 101.18 90.00
With the nearest neighbours (Å) after each atom.
Space group C2/m (No. 12)
One atom of each set of equivalent atoms:
Ba1 0.0000 0.0000 0.0000 x2  8 Si 3.32-3.63
Ba2 0.1102 0.5000 0.3855 x4  6 Si 3.33-3.49, 1 Ba 3.70
Si1 0.1242 0.0000 0.6957 x4  2 Ir 2.41, 1 Si 2.56
Si2 0.2166 0.5000 0.0749 x4  3 Ir 2.41-2.50, 1 Si 2.56
Ir1 0.1955 0.5000 0.8065 x4  5 Si 2.41-2.50

* calculated total energy: -5.61 eV/atom
* formation energy without anion corrections: -511 kJ/mol of formula units

# 10
Entry from Alexandria via LeMat-Bulk: a relaxed structure of BaSi2Ir (PBE).

a b c (Å): 7.1998 4.1480 6.5827
angles (deg): 90.00 111.47 90.00
With the nearest neighbours (Å) after each atom.
Space group Cm (No. 8)
One atom of each set of equivalent atoms:
Ba1 0.0000 0.0000 0.0000 x2  3 Ir 3.31-3.70, 7 Si 3.32-3.57
Si1 0.0416 0.5000 0.6255 x2  3 Ir 2.45, 3 Si 2.71-2.72
Si2 0.3061 0.5000 0.4171 x2  3 Ir 2.51, 3 Si 2.71-2.72
Ir1 0.1799 0.0000 0.5397 x2  6 Si 2.45-2.51

* calculated total energy: -5.95 eV/atom
* formation energy without anion corrections: -209 kJ/mol of formula units

# 11
Entry from Alexandria via LeMat-Bulk: a relaxed structure of Ba2SiIr (PBE).

a b c (Å): 4.0348 5.4278 10.8395
angles (deg): 90.00 90.00 90.00
With the nearest neighbours (Å) after each atom.
Space group Imm2 (No. 44)
One atom of each set of equivalent atoms:
Ba1 0.0000 0.0000 0.0000 x2  2 Ba 3.44, 2 Ir 3.45, 4 Si 3.53
Ba2 0.0000 0.5000 0.1943 x2  2 Ba 3.44, 4 Si 3.55-3.72, 4 Ir 3.58
Si1 0.0000 0.0000 0.4060 x2  2 Ir 2.31
Ir1 0.0000 0.5000 0.8029 x2  2 Si 2.31

* calculated total energy: -4.87 eV/atom
* formation energy without anion corrections: -131 kJ/mol of formula units

# 12
Entry from Alexandria via LeMat-Bulk: a relaxed structure of Ba2SiIr (PBE).

a b c (Å): 3.8854 4.1810 7.2029
angles (deg): 90.00 90.00 90.00
With the nearest neighbours (Å) after each atom.
Space group Pmmm (No. 47)
One atom of each set of equivalent atoms:
Ba1 0.0000 0.0000 0.2369 x2  4 Ir 3.33, 1 Ba 3.41, 4 Si 3.43
Si1 0.5000 0.5000 0.5000 x1  8 Ba 3.43, 2 Ir 3.60
Ir1 0.5000 0.5000 0.0000 x1  8 Ba 3.33, 2 Si 3.60

* calculated total energy: -4.33 eV/atom
* formation energy without anion corrections: 79 kJ/mol of formula units

no.,total moment (μB/atom)
1,0.000
2,0.000
3,0.000
4,0.000
5,0.000
6,0.000
7,0.201
8,0.000
9,0.000
10,0.000
11,0.000
12,0.057